(1)
A relaxed FeTeP2 crystal. Source: Alexandria via LeMat-Bulk, functional PBE.

a = 4.8778 Å, b = 2.9741 Å, c = 5.1471 Å
α = 90.00°, β = 115.96°, γ = 90.00°
Closest atoms and distances in Å follow each position.
Space group P2/m (No. 10)
One atom of each set of equivalent atoms:
Fe 0.0000 0.0000 0.0000  4 P 2.28
Te 0.0000 0.0000 0.5000  2 Fe 2.57
P 0.3953 0.5000 0.1576  1 P 2.26, 2 Fe 2.28

Results
* D(E_F): 0.616 states/eV per atom
* crystal system: monoclinic
* magnetization: 0.84 μB/f.u.
* E_form (uncorrected): 0.0486 eV per atom
* raw total energy: -5.557 eV/atom

(2)
A relaxed Tl2CdIn2Bi2 crystal. Source: Alexandria via LeMat-Bulk, functional PBE.

a = 9.1670 Å, b = 5.2446 Å, c = 9.9153 Å
α = 90.00°, β = 90.16°, γ = 90.00°
Closest atoms and distances in Å follow each position.
Space group C2/m (No. 12)
One atom of each set of equivalent atoms:
Tl 0.1651 0.0000 0.0846  1 In 3.13, 3 Tl 3.46-3.48
Cd 0.0000 0.5000 0.5000  6 In 3.19-3.21
In 0.1668 0.0000 0.4005  1 Tl 3.13, 3 Cd 3.19-3.21, 4 Bi 3.21-3.29
Bi 0.1657 0.0000 0.7241  4 In 3.21-3.29, 4 Tl 3.57-3.59

Results
* D(E_F): 0.572 states/eV per atom
* E_form: 0.09 eV/atom
* crystal system: monoclinic
* magnetization: 0.00 μB/f.u.
* raw total energy: -2.613 eV/atom

(3)
A relaxed Cr2CuTc crystal. Source: Alexandria via LeMat-Bulk, functional PBE.

a = 3.0010 Å, b = 4.0845 Å, c = 8.3040 Å
α = 90.00°, β = 90.00°, γ = 90.00°
Closest atoms and distances in Å follow each position.
Space group Cmmm (No. 65)
One atom of each set of equivalent atoms:
Cr 0.0000 0.0000 0.2485  4 Cr 2.53, 2 Cu 2.55, 2 Tc 2.57
Cu 0.0000 0.5000 0.0000  4 Cu 2.53, 4 Cr 2.55
Tc 0.0000 0.5000 0.5000  4 Tc 2.53, 4 Cr 2.57

Results
* D(E_F): 0.976 states/eV per atom
* E_form: 0.26 eV/atom
* crystal system: orthorhombic
* magnetization: 0.00 μB/f.u.
* raw total energy: -8.166 eV/atom

(4)
A relaxed Ac2YEr2Hg5 crystal. Source: Alexandria via LeMat-Bulk, functional PBE.

a = 12.1278 Å, b = 12.1278 Å, c = 3.9865 Å
α = 90.00°, β = 90.00°, γ = 90.00°
Closest atoms and distances in Å follow each position.
Space group P4/mbm (No. 127)
One atom of each set of equivalent atoms:
Ac 0.1730 0.3270 0.0000  3 Er 3.40-3.70, 6 Hg 3.57-3.62
Y 0.0000 0.0000 0.0000  8 Hg 3.14
Er 0.1290 0.6290 0.0000  6 Hg 2.98-3.08
Hg 0.0000 0.5000 0.5000  4 Er 2.98
Hg 0.0777 0.8160 0.5000  2 Er 3.08, 2 Y 3.14, 2 Hg 3.43

Results
* D(E_F): 0.717 states/eV per atom
* E_form: -0.36 eV/atom
* crystal system: tetragonal
* magnetization: 0.56 μB/f.u.
* raw total energy: -2.889 eV/atom

(5)
A relaxed LiLaNi5 crystal. Source: Alexandria via LeMat-Bulk, functional PBE.

a = 7.9698 Å, b = 4.9451 Å, c = 10.2230 Å
α = 90.00°, β = 90.00°, γ = 90.00°
Closest atoms and distances in Å follow each position.
Space group Pnma (No. 62)
One atom of each set of equivalent atoms:
Li 0.1355 0.2500 0.1471  8 Ni 2.66-2.70
La 0.2404 0.7500 0.9405  6 Ni 2.80-3.03, 1 Li 3.13
Ni 0.0698 0.2500 0.8882  4 Ni 2.42-2.47, 1 Li 2.70
Ni 0.0718 0.5006 0.6831  7 Ni 2.42-2.51, 2 Li 2.66-2.69
Ni 0.1025 0.7500 0.4808  5 Ni 2.42-2.51, 1 Li 2.69
Ni 0.1783 0.7500 0.2479  7 Ni 2.42-2.47, 2 Li 2.70

Results
* D(E_F): 1.218 states/eV per atom
* E_form: -0.17 eV/atom
* crystal system: orthorhombic
* magnetization: 0.82 μB/f.u.
* raw total energy: -5.278 eV/atom

(6)
A relaxed HfZrGa3 crystal. Source: Alexandria via LeMat-Bulk, functional PBE.

a = 4.9675 Å, b = 4.9675 Å, c = 4.9675 Å
α = 90.00°, β = 90.00°, γ = 90.00°
Closest atoms and distances in Å follow each position.
Space group Pm-3m (No. 221)
One atom of each set of equivalent atoms:
Hf 0.0000 0.0000 0.0000  6 Ga 2.48
Zr 0.5000 0.5000 0.5000  12 Ga 3.51
Ga 0.0000 0.0000 0.5000  2 Hf 2.48

Results
* polymorph energy (0 for the lowest one): 4.87 eV per formula unit
* D(E_F): 0.795 states/eV per atom
* E_form: 0.59 eV/atom
* crystal system: cubic
* magnetization: 0.00 μB/f.u.
* raw total energy: -4.924 eV/atom